The following is a DFT calculation (GGA-PBE) of crystalline ScCu2Br at its relaxed geometry.

- SG: Imm2, No. 44
- N(E_F): 1.22 states/eV/cell
- Formation energy without anion corrections: -0.31 kcal/mol of atoms
- E: -4.063 eV per atom
- Excess energy over the best structure of this formula in the dataset: 319 meV/atom

abc: 5.056 5.056 5.056
angles: 136.94 123.35 73.71
Fractional coordinates of all 4 atoms:
Cu 0.977 0.977 0.000
Cu 0.770 0.270 0.500
Sc 0.512 0.512 0.000
Br 0.241 0.741 0.500



The following is a DFT calculation (GGA-PBE) of crystalline ScCu2Br at its relaxed geometry.

- SG: I-42d, No. 122
- N(E_F): 0.28 states/eV/cell
- Formation energy without anion corrections: -1.61 kcal/mol of atoms
- E: -4.119 eV per atom
- Excess energy over the best structure of this formula in the dataset: 263 meV/atom

abc: 7.585 7.585 5.957
angles: 50.46 50.46 90.00
Fractional coordinates of all 8 atoms:
Cu 0.637 0.125 0.250
Cu 0.113 0.625 0.250
Cu 0.875 0.887 0.750
Cu 0.375 0.363 0.750
Br 0.750 0.250 0.500
Br 0.000 0.000 0.000
Sc 0.250 0.750 0.500
Sc 0.500 0.500 0.000



The following is a DFT calculation (GGA-PBE) of crystalline Sc2CuBr at its relaxed geometry.

- SG: Pmmm, No. 47
- N(E_F): 3.71 states/eV/cell
- Formation energy without anion corrections: -11.23 kcal/mol of atoms
- E: -5.095 eV per atom
- Excess energy over the best structure of this formula in the dataset: 31 meV/atom

abc: 3.290 3.389 7.736
angles: 89.98 90.00 90.00
Fractional coordinates of all 4 atoms:
Cu 0.500 0.750 0.750
Br 0.500 0.250 0.250
Sc 0.000 0.250 0.549
Sc 0.000 0.250 0.951



The following is a DFT calculation (GGA-PBE) of crystalline Sc2CuBr at its relaxed geometry.

- SG: Imm2, No. 44
- N(E_F): 2.17 states/eV/cell
- Formation energy without anion corrections: -9.94 kcal/mol of atoms
- E: -5.039 eV per atom
- Excess energy over the best structure of this formula in the dataset: 87 meV/atom

abc: 7.662 7.662 7.662
angles: 154.64 153.13 37.28
Fractional coordinates of all 4 atoms:
Sc 0.931 0.931 0.000
Sc 0.724 0.224 0.500
Cu 0.297 0.797 0.500
Br 0.547 0.547 0.000



The following is a DFT calculation (GGA-PBE) of crystalline Sc2CuBr at its relaxed geometry.

- SG: P4mm, No. 99
- N(E_F): 2.61 states/eV/cell
- Formation energy without anion corrections: -9.96 kcal/mol of atoms
- E: -5.040 eV per atom
- Excess energy over the best structure of this formula in the dataset: 86 meV/atom

abc: 3.836 3.836 5.531
angles: 90.00 90.00 90.00
Fractional coordinates of all 4 atoms:
Br 0.000 0.000 0.378
Sc 0.000 0.000 0.877
Sc 0.500 0.500 0.372
Cu 0.500 0.500 0.874



The following is a DFT calculation (GGA-PBE) of crystalline ScCu2Br at its relaxed geometry.

- SG: Cm, No. 8
- N(E_F): 1.70 states/eV/cell
- Formation energy without anion corrections: -7.67 kcal/mol of atoms
- E: -4.382 eV per atom
- Excess energy over the best structure of this formula in the dataset: 0 meV/atom

abc: 3.958 3.958 6.398
angles: 89.74 89.74 59.84
Fractional coordinates of all 4 atoms:
Br 0.127 0.127 0.293
Cu 0.123 0.123 0.866
Cu 0.791 0.791 0.778
Sc 0.459 0.459 0.563



- Look up the N(E_F) of the sixth one.
  1.70 states/eV/cell



- Which of these has the highest N(E_F)?
  number 3



- N(E_F) of number 5 (Sc2CuBr)?
  2.61 states/eV/cell